[1]
# La3MgPt (PBE, relaxed)
# - Energy above the lowest structure with this stoichiometry: 158 meV per atom
# - Electronic total energy: -24.119 eV/cell
# - Energy of formation: -0.34 eV/atom
data_La3MgPt
_symmetry_space_group_name_H-M 'P m -3 m'
_symmetry_Int_Tables_number 221
_symmetry_space_group_name_Hall '-P 4 2 3'
_cell_length_a 5.723
_cell_length_b 5.723
_cell_length_c 5.723
_cell_angle_alpha 90.00
_cell_angle_beta 90.00
_cell_angle_gamma 90.00
loop_
_atom_site_label
_atom_site_type_symbol
_atom_site_fract_x
_atom_site_fract_y
_atom_site_fract_z
La1 La 0.000 0.000 0.500
Mg1 Mg 0.500 0.500 0.500
Pt1 Pt 0.000 0.000 0.000

[2]
# CdIn12Sn2 (PBE, relaxed)
# - Electronic total energy: -80.544 eV/cell
# - Energy of formation: 0.10 eV/atom
data_CdIn12Sn2
_symmetry_space_group_name_H-M 'P 4/n b m'
_symmetry_Int_Tables_number 125
_cell_length_a 6.475
_cell_length_b 6.475
_cell_length_c 20.823
_cell_angle_alpha 90.00
_cell_angle_beta 90.00
_cell_angle_gamma 90.00
loop_
_symmetry_equiv_pos_as_xyz
'x,y,z'
'-x,-y,-z'
'-y+1/2,x,z'
'y+1/2,-x,-z'
'-x+1/2,-y+1/2,z'
'x+1/2,y+1/2,-z'
'y,-x+1/2,z'
'-y,x+1/2,-z'
'x,-y+1/2,-z'
'-x,y+1/2,z'
'-y+1/2,-x+1/2,-z'
'y+1/2,x+1/2,z'
'-x+1/2,y,-z'
'x+1/2,-y,z'
'y,x,-z'
'-y,-x,z'
loop_
_atom_site_label
_atom_site_type_symbol
_atom_site_fract_x
_atom_site_fract_y
_atom_site_fract_z
Cd1 Cd 0.250 0.750 0.000
In1 In 0.001 0.501 0.099
In2 In 0.077 0.577 0.435
In3 In 0.250 0.250 0.204
In4 In 0.250 0.250 0.341
Sn1 Sn 0.250 0.750 0.229

[3]
# Li2ErSc3S6 (PBE, relaxed)
# - Electronic total energy: -148.698 eV/cell
# - ΔE_f (raw): -1.850 eV/atom
data_Li2ErSc3S6
_symmetry_space_group_name_H-M 'C 1 2/m 1'
_symmetry_Int_Tables_number 12
_cell_length_a 6.414
_cell_length_b 11.112
_cell_length_c 6.532
_cell_angle_alpha 90.00
_cell_angle_beta 109.11
_cell_angle_gamma 90.00
loop_
_symmetry_equiv_pos_as_xyz
'x,y,z'
'-x,-y,-z'
'-x,y,-z'
'x,-y,z'
'x+1/2,y+1/2,z'
'-x+1/2,-y+1/2,-z'
'-x+1/2,y+1/2,-z'
'x+1/2,-y+1/2,z'
loop_
_atom_site_label
_atom_site_type_symbol
_atom_site_fract_x
_atom_site_fract_y
_atom_site_fract_z
Li1 Li 0.000 0.167 0.000
Er1 Er 0.000 0.500 0.000
Sc1 Sc 0.000 0.000 0.500
Sc2 Sc 0.000 0.333 0.500
S1 S 0.246 0.169 0.745
S2 S 0.247 0.000 0.256

[4]
# TbPu2Al9 (PBE, relaxed)
# - Electronic total energy: -211.509 eV/cell
# - Energy of formation: -0.29 eV/atom
data_TbPu2Al9
_symmetry_space_group_name_H-M 'R -3 m'
_symmetry_Int_Tables_number 166
_symmetry_space_group_name_Hall '-R 3 2"'
_cell_length_a 5.5117
_cell_length_b 5.5117
_cell_length_c 26.5691
_cell_angle_alpha 90.00
_cell_angle_beta 90.00
_cell_angle_gamma 120.00
loop_
_atom_site_label
_atom_site_type_symbol
_atom_site_fract_x
_atom_site_fract_y
_atom_site_fract_z
Tb1 Tb 0.0000 0.0000 0.0000
Pu1 Pu 0.0000 0.0000 0.1442
Al1 Al 0.0000 0.0000 0.3347
Al2 Al 0.0000 0.0000 0.5000
Al3 Al 0.0052 0.5026 0.9169

[5]
# ZrZn2 (PBE, relaxed)
# - Electronic total energy: -45.682 eV/cell
# - Energy of formation: -0.11 eV/atom
data_ZrZn2
_symmetry_space_group_name_H-M 'C m c m'
_symmetry_Int_Tables_number 63
_symmetry_space_group_name_Hall '-C 2c 2'
_cell_length_a 3.096
_cell_length_b 14.474
_cell_length_c 4.740
_cell_angle_alpha 90.00
_cell_angle_beta 90.00
_cell_angle_gamma 90.00
loop_
_atom_site_label
_atom_site_type_symbol
_atom_site_fract_x
_atom_site_fract_y
_atom_site_fract_z
Zr1 Zr 0.000 0.103 0.250
Zn1 Zn 0.000 0.224 0.750
Zn2 Zn 0.000 0.434 0.250

[6]
# RbCdH3 (PBE, relaxed)
# - Electronic total energy: -6.954 eV/cell
data_RbCdH3
_symmetry_space_group_name_H-M 'P m -3 m'
_symmetry_Int_Tables_number 221
_symmetry_space_group_name_Hall '-P 4 2 3'
_cell_length_a 4.708
_cell_length_b 4.708
_cell_length_c 4.708
_cell_angle_alpha 90.00
_cell_angle_beta 90.00
_cell_angle_gamma 90.00
loop_
_atom_site_label
_atom_site_type_symbol
_atom_site_fract_x
_atom_site_fract_y
_atom_site_fract_z
Rb1 Rb 0.000 0.000 0.000
Cd1 Cd 0.500 0.500 0.500
H1 H 0.000 0.000 0.500

Among the records above, which one has the highest electronic total energy? RbCdH3